# 1
First-principles (PBE) data for a relaxed RbAlHgTe3 crystal, as listed in OQMD via LeMat-Bulk.

```
data_RbAlHgTe3
_chemical_formula_sum 'Rb4 Al4 Hg4 Te12'
_symmetry_space_group_name_H-M 'C m c m'
_symmetry_Int_Tables_number 63
_symmetry_space_group_name_Hall '-C 2c 2'
_cell_length_a 4.306
_cell_length_b 16.504
_cell_length_c 12.552
_cell_angle_alpha 90.00
_cell_angle_beta 90.00
_cell_angle_gamma 90.00
loop_
_atom_site_label
_atom_site_fract_x
_atom_site_fract_y
_atom_site_fract_z
Rb1 0.000 0.249 0.250
Al1 0.000 0.032 0.750
Hg1 0.000 0.500 0.000
Te1 0.000 0.117 0.572
Te2 0.000 0.433 0.750
```



# 2
First-principles (PBE) data for a relaxed SmLuTlTe3 crystal, as listed in OQMD via LeMat-Bulk.

```
data_SmLuTlTe3
_chemical_formula_sum 'Sm4 Lu4 Tl4 Te12'
_symmetry_space_group_name_H-M 'C m c m'
_symmetry_Int_Tables_number 63
_symmetry_space_group_name_Hall '-C 2c 2'
_cell_length_a 4.486
_cell_length_b 15.396
_cell_length_c 12.114
_cell_angle_alpha 90.00
_cell_angle_beta 90.00
_cell_angle_gamma 90.00
loop_
_atom_site_label
_atom_site_fract_x
_atom_site_fract_y
_atom_site_fract_z
Sm1 0.000 0.000 0.000
Lu1 0.000 0.445 0.250
Tl1 0.000 0.249 0.750
Te1 0.000 0.067 0.250
Te2 0.000 0.357 0.040
```

Results
The magnetization comes out at 0.01 μB per formula unit.



# 3
First-principles (PBE) data for a relaxed ScCdCuS3 crystal, as listed in OQMD via LeMat-Bulk.

```
data_ScCdCuS3
_chemical_formula_sum 'Sc4 Cd4 Cu4 S12'
_symmetry_space_group_name_H-M 'C m c m'
_symmetry_Int_Tables_number 63
_symmetry_space_group_name_Hall '-C 2c 2'
_cell_length_a 3.657
_cell_length_b 12.281
_cell_length_c 9.939
_cell_angle_alpha 90.00
_cell_angle_beta 90.00
_cell_angle_gamma 90.00
loop_
_atom_site_label
_atom_site_fract_x
_atom_site_fract_y
_atom_site_fract_z
Sc1 0.000 0.000 0.000
Cd1 0.000 0.239 0.250
Cu1 0.000 0.473 0.750
S1 0.000 0.094 0.750
S2 0.000 0.362 0.567
```

Results
The magnetization comes out at 0.00 μB per formula unit.



# 4
First-principles (PBE) data for a relaxed MgGaRe2 crystal, as listed in OQMD via LeMat-Bulk.

```
data_MgGaRe2
_chemical_formula_sum 'Mg4 Ga4 Re8'
_symmetry_space_group_name_H-M 'F -4 3 m'
_symmetry_Int_Tables_number 216
_symmetry_space_group_name_Hall 'F -4 2 3'
_cell_length_a 6.201
_cell_length_b 6.201
_cell_length_c 6.201
_cell_angle_alpha 90.00
_cell_angle_beta 90.00
_cell_angle_gamma 90.00
loop_
_atom_site_label
_atom_site_fract_x
_atom_site_fract_y
_atom_site_fract_z
Mg1 0.000 0.000 0.000
Ga1 0.250 0.250 0.750
Re1 0.000 0.000 0.500
Re2 0.250 0.250 0.250
```

Results
The magnetization comes out at 0.00 μB per formula unit.



# 5
First-principles (PBE) data for a relaxed NdUNb crystal, as listed in OQMD via LeMat-Bulk.

```
data_NdUNb
_chemical_formula_sum 'Nd4 U4 Nb4'
_symmetry_space_group_name_H-M 'F -4 3 m'
_symmetry_Int_Tables_number 216
_symmetry_space_group_name_Hall 'F -4 2 3'
_cell_length_a 6.896
_cell_length_b 6.896
_cell_length_c 6.896
_cell_angle_alpha 90.00
_cell_angle_beta 90.00
_cell_angle_gamma 90.00
loop_
_atom_site_label
_atom_site_fract_x
_atom_site_fract_y
_atom_site_fract_z
Nd1 0.000 0.000 0.000
U1 0.000 0.000 0.500
Nb1 0.250 0.250 0.250
```

Results
The value obtained for the formation energy is 99 kJ per mole of atoms. The magnetization comes out at 1.86 μB per formula unit.



# 6
First-principles (PBE) data for a relaxed ThPaGa crystal, as listed in OQMD via LeMat-Bulk.

```
data_ThPaGa
_chemical_formula_sum 'Th4 Pa4 Ga4'
_symmetry_space_group_name_H-M 'F -4 3 m'
_symmetry_Int_Tables_number 216
_symmetry_space_group_name_Hall 'F -4 2 3'
_cell_length_a 6.954
_cell_length_b 6.954
_cell_length_c 6.954
_cell_angle_alpha 90.00
_cell_angle_beta 90.00
_cell_angle_gamma 90.00
loop_
_atom_site_label
_atom_site_fract_x
_atom_site_fract_y
_atom_site_fract_z
Th1 0.000 0.000 0.000
Pa1 0.000 0.000 0.500
Ga1 0.250 0.250 0.750
```

Results
The magnetization comes out at 0.44 μB per formula unit.



| no. | total energy (eV/atom) |
| --- | --- |
| 1 | -2.895 |
| 2 | -4.472 |
| 3 | -4.824 |
| 4 | -7.243 |
| 5 | -7.689 |
| 6 | -6.473 |